Entry 1:
DFT (PBE-GGA) results for an optimized crystal structure of ZrTi4N.

abc: 7.184 7.184 5.710
angles: 104.46 104.46 42.86
Atoms (fractional coordinates):
1 Zr 0.104 0.896 0.750
2 Zr 0.896 0.104 0.250
3 Ti 0.136 0.284 0.661
4 Ti 0.284 0.136 0.161
5 Ti 0.308 0.488 0.059
6 Ti 0.488 0.308 0.559
7 Ti 0.512 0.692 0.441
8 Ti 0.692 0.512 0.941
9 Ti 0.716 0.864 0.839
10 Ti 0.864 0.716 0.339
11 N 0.000 0.500 0.000
12 N 0.500 0.000 0.500

Values from the calculation:
- Energy relative to the elements, uncorrected: -618 meV per atom

=====

Entry 2:
DFT (PBE-GGA) results for an optimized crystal structure of Ba3ZnI3.

abc: 12.205 12.205 12.205
angles: 109.47 109.47 109.47
Atoms (fractional coordinates):
1 Ba 0.004 0.008 0.254
2 Ba 0.004 0.496 0.750
3 Ba 0.008 0.254 0.004
4 Ba 0.246 0.254 0.750
5 Ba 0.246 0.492 0.496
6 Ba 0.254 0.004 0.008
7 Ba 0.254 0.750 0.246
8 Ba 0.492 0.496 0.246
9 Ba 0.496 0.246 0.492
10 Ba 0.496 0.750 0.004
11 Ba 0.750 0.004 0.496
12 Ba 0.750 0.246 0.254
13 Zn 0.000 0.250 0.500
14 Zn 0.250 0.250 0.250
15 Zn 0.250 0.500 0.000
16 Zn 0.500 0.000 0.250
17 I 0.250 0.752 0.748
18 I 0.250 0.998 0.502
19 I 0.502 0.250 0.998
20 I 0.502 0.752 0.504
21 I 0.504 0.502 0.752
22 I 0.748 0.250 0.752
23 I 0.748 0.998 0.996
24 I 0.752 0.504 0.502
25 I 0.752 0.748 0.250
26 I 0.996 0.748 0.998
27 I 0.998 0.502 0.250
28 I 0.998 0.996 0.748

Values from the calculation:
- Energy relative to the elements, uncorrected: -1132 meV per atom

=====

Entry 3:
DFT (PBE-GGA) results for an optimized crystal structure of AcTm3Mg2.

abc: 3.768 3.768 12.686
angles: 90.00 90.00 90.00
Atoms (fractional coordinates):
1 Ac 0.000 0.000 0.000
2 Tm 0.500 0.500 0.206
3 Tm 0.500 0.500 0.500
4 Tm 0.500 0.500 0.794
5 Mg 0.000 0.000 0.354
6 Mg 0.000 0.000 0.646

Values from the calculation:
- Energy of formation from the pure elements: -9 meV per atom

=====

Entry 4:
DFT (PBE-GGA) results for an optimized crystal structure of PrPaIr.

abc: 6.993 6.993 6.993
angles: 90.00 90.00 90.00
Atoms (fractional coordinates):
1 Pr 0.083 0.417 0.583
2 Pr 0.417 0.583 0.083
3 Pr 0.583 0.083 0.417
4 Pr 0.917 0.917 0.917
5 Pa 0.094 0.906 0.406
6 Pa 0.406 0.094 0.906
7 Pa 0.594 0.594 0.594
8 Pa 0.906 0.406 0.094
9 Ir 0.223 0.223 0.223
10 Ir 0.277 0.777 0.723
11 Ir 0.723 0.277 0.777
12 Ir 0.777 0.723 0.277

Values from the calculation:
- Offset from the most stable computed form: 0.1634 eV per atom
- Energy of formation from the pure elements: -304 meV per atom

=====

no.,calculated total energy (eV/cell)
1,-104.32
2,-78.47
3,-20.77
4,-96.20